No. 1
# CuSiAs2

An optimized crystal structure of CuSiAs2 (PBE-GGA, the Alexandria database).

Lattice parameters (Å, degrees): 3.693 6.764 7.031 82.32 89.96 74.25
Fractional coordinates of all 8 atoms:
Cu  0.000  0.000  0.000
Cu  0.245  0.512  0.755
Si  0.502  0.993  0.492
Si  0.755  0.489  0.245
As  0.057  0.883  0.692
As  0.313  0.372  0.451
As  0.568  0.863  0.190
As  0.816  0.369  0.942

- uncorrected energy (eV per atom) = -4.71
- magnetization (μB per atom) = 0.000
- symmetry = No. 1
- Fermi-level density of states (states/eV/cell) = 3.59

=====

No. 2
# CuSiAs2

An optimized crystal structure of CuSiAs2 (PBE-GGA, the Alexandria database).

Lattice parameters (Å, degrees): 3.594 5.214 7.315 90.00 90.00 90.00
Fractional coordinates of all 8 atoms:
Cu  0.000  0.000  0.000
Cu  0.500  0.500  0.500
Si  0.000  0.000  0.500
Si  0.500  0.500  0.000
As  0.000  0.500  0.255
As  0.000  0.500  0.745
As  0.500  0.000  0.245
As  0.500  0.000  0.755

- uncorrected energy (eV per atom) = -4.29
- magnetization (μB per atom) = 0.000
- symmetry = No. 71
- Fermi-level density of states (states/eV/cell) = 2.67

=====

No. 3
# CuSiAs

An optimized crystal structure of CuSiAs (PBE-GGA, the Alexandria database).

Lattice parameters (Å, degrees): 3.749 4.382 7.659 92.73 103.77 114.93
Fractional coordinates of all 6 atoms:
Cu  0.147  0.411  0.377
Cu  0.853  0.589  0.623
Si  0.180  0.204  0.654
Si  0.820  0.796  0.346
As  0.209  0.783  0.132
As  0.791  0.217  0.868

- uncorrected energy (eV per atom) = -4.61
- magnetization (μB per atom) = 0.000
- symmetry = No. 2
- Fermi-level density of states (states/eV/cell) = 1.62

=====

No. 4
# CuSiAs4

An optimized crystal structure of CuSiAs4 (PBE-GGA, the Alexandria database).

Lattice parameters (Å, degrees): 5.479 5.479 5.479 60.00 60.00 60.00
Fractional coordinates of all 6 atoms:
Cu  0.000  0.000  0.000
Si  0.750  0.750  0.750
As  0.375  0.375  0.375
As  0.375  0.375  0.876
As  0.375  0.876  0.375
As  0.876  0.375  0.375

- uncorrected energy (eV per atom) = -4.00
- magnetization (μB per atom) = 0.000
- symmetry = No. 216
- Fermi-level density of states (states/eV/cell) = 1.80

=====

No. 5
# Cu2Si2As

An optimized crystal structure of Cu2Si2As (PBE-GGA, the Alexandria database).

Lattice parameters (Å, degrees): 3.600 3.600 11.579 90.00 90.00 90.00
Fractional coordinates of all 10 atoms:
Cu  0.000  0.000  0.106
Cu  0.000  0.000  0.894
Cu  0.500  0.500  0.394
Cu  0.500  0.500  0.606
Si  0.000  0.500  0.250
Si  0.000  0.500  0.750
Si  0.500  0.000  0.250
Si  0.500  0.000  0.750
As  0.000  0.000  0.500
As  0.500  0.500  0.000

- uncorrected energy (eV per atom) = -4.49
- magnetization (μB per atom) = 0.000
- symmetry = No. 139
- Fermi-level density of states (states/eV/cell) = 2.81

=====

No. 6
# CuSiAs

An optimized crystal structure of CuSiAs (PBE-GGA, the Alexandria database).

Lattice parameters (Å, degrees): 4.433 4.628 5.463 77.06 72.59 75.47
Fractional coordinates of all 6 atoms:
Cu  0.236  0.373  0.290
Cu  0.764  0.627  0.710
Si  0.091  0.236  0.949
Si  0.909  0.764  0.051
As  0.405  0.810  0.383
As  0.595  0.190  0.617

- uncorrected energy (eV per atom) = -4.58
- magnetization (μB per atom) = 0.000
- symmetry = No. 2
- Fermi-level density of states (states/eV/cell) = 1.54

=====

No. 7
# CuSiAs2

An optimized crystal structure of CuSiAs2 (PBE-GGA, the Alexandria database).

Lattice parameters (Å, degrees): 2.662 4.306 6.418 90.00 90.22 90.00
Fractional coordinates of all 4 atoms:
Cu  0.000  0.000  0.000
Si  0.995  0.500  0.798
As  0.001  0.500  0.196
As  0.993  0.000  0.586

- uncorrected energy (eV per atom) = -4.50
- magnetization (μB per atom) = 0.000
- symmetry = No. 6
- Fermi-level density of states (states/eV/cell) = 1.52

=====

No. 8
# CuSiAs2

An optimized crystal structure of CuSiAs2 (PBE-GGA, the Alexandria database).

Lattice parameters (Å, degrees): 4.954 4.954 2.712 90.00 90.00 90.00
Fractional coordinates of all 4 atoms:
Cu  0.000  0.000  0.000
Si  0.500  0.500  0.000
As  0.000  0.500  0.500
As  0.500  0.000  0.500

- uncorrected energy (eV per atom) = -4.32
- magnetization (μB per atom) = 0.000
- symmetry = No. 123
- Fermi-level density of states (states/eV/cell) = 1.49

=====

No. 9
# CuSiAs

An optimized crystal structure of CuSiAs (PBE-GGA, the Alexandria database).

Lattice parameters (Å, degrees): 3.695 5.084 6.117 102.59 91.12 92.73
Fractional coordinates of all 6 atoms:
Cu  0.000  0.000  0.000
Cu  0.470  0.322  0.146
Si  0.221  0.305  0.775
Si  0.737  0.691  0.381
As  0.257  0.006  0.395
As  0.745  0.608  0.756

- uncorrected energy (eV per atom) = -4.63
- magnetization (μB per atom) = 0.000
- symmetry = No. 1
- Fermi-level density of states (states/eV/cell) = 0.78

=====

No. 10
# CuSiAs2

An optimized crystal structure of CuSiAs2 (PBE-GGA, the Alexandria database).

Lattice parameters (Å, degrees): 3.363 3.363 6.740 90.00 90.00 90.00
Fractional coordinates of all 4 atoms:
Cu  0.000  0.000  0.000
Si  0.500  0.500  0.217
As  0.000  0.000  0.373
As  0.500  0.500  0.850

- uncorrected energy (eV per atom) = -4.52
- magnetization (μB per atom) = 0.000
- symmetry = No. 99
- Fermi-level density of states (states/eV/cell) = 1.03

=====

No. 11
# CuSiAs

An optimized crystal structure of CuSiAs (PBE-GGA, the Alexandria database).

Lattice parameters (Å, degrees): 3.778 3.809 14.149 90.00 90.00 90.00
Fractional coordinates of all 12 atoms:
Cu  0.000  0.000  0.000
Cu  0.000  0.500  0.500
Cu  0.500  0.000  0.500
Cu  0.500  0.500  0.000
Si  0.000  0.000  0.627
Si  0.000  0.500  0.127
Si  0.500  0.000  0.127
Si  0.500  0.500  0.627
As  0.000  0.000  0.358
As  0.000  0.500  0.858
As  0.500  0.000  0.858
As  0.500  0.500  0.358

- uncorrected energy (eV per atom) = -4.42
- magnetization (μB per atom) = 0.000
- symmetry = No. 42
- Fermi-level density of states (states/eV/cell) = 5.06

=====

No. 12
# Cu2Si2As

An optimized crystal structure of Cu2Si2As (PBE-GGA, the Alexandria database).

Lattice parameters (Å, degrees): 7.405 7.405 2.675 90.00 90.00 90.00
Fractional coordinates of all 10 atoms:
Cu  0.173  0.327  0.000
Cu  0.327  0.827  0.000
Cu  0.673  0.173  0.000
Cu  0.827  0.673  0.000
Si  0.124  0.624  0.500
Si  0.376  0.124  0.500
Si  0.624  0.876  0.500
Si  0.876  0.376  0.500
As  0.000  0.000  0.000
As  0.500  0.500  0.000

- uncorrected energy (eV per atom) = -4.48
- magnetization (μB per atom) = 0.000
- symmetry = No. 127
- Fermi-level density of states (states/eV/cell) = 3.70